The following is a PBE calculation of a relaxed TaTlPN2 crystal, from Alexandria via LeMat-Bulk.

Lattice parameters (Å, degrees): 4.089 4.089 5.088 90.00 90.00 90.00
Atoms (fractional coordinates):
Ta 0.000 0.000 0.000
Tl 0.500 0.500 0.500
P 0.500 0.500 0.000
N 0.000 0.500 0.500
N 0.500 0.000 0.500

Space group = P4/mmm, No. 123

***

The following is a PBE calculation of a relaxed SrMg2Sb2 crystal, from Alexandria via LeMat-Bulk.

Lattice parameters (Å, degrees): 4.755 4.755 7.885 90.00 90.00 120.00
Atoms (fractional coordinates):
Sr 0.000 0.000 0.000
Mg 0.333 0.667 0.628
Mg 0.667 0.333 0.372
Sb 0.333 0.667 0.256
Sb 0.667 0.333 0.744

Space group = P-3m1, No. 164

***

no.,electronic total energy (eV per atom),uncorrected formation energy (eV per atom)
1,-5.005,2.25
2,-3.382,-0.76